## Tb3ErCl (GGA-PBE)

Data for a relaxed Tb3ErCl crystal.

Uncorrected formation energy = -451 meV per atom
Magnetic moment = 0.002 μB per formula unit

abc: 5.2866 5.2866 5.2866
angles: 90.00 90.00 90.00
Closest atoms and distances in Å follow each position.
Space group Pm-3m (No. 221)
Unique sites:
Tb 0.0000 0.0000 0.5000 (multiplicity 3)  2 Cl 2.64
Er 0.5000 0.5000 0.5000 (multiplicity 1)  12 Tb 3.74
Cl 0.0000 0.0000 0.0000 (multiplicity 1)  6 Tb 2.64